No. 1
Below is a geometry-optimized SmMgTl structure, with properties calculated at the PBE level.

Results
Energy of formation from the pure elements   -0.2759 eV/atom
Symmetry   P3m1
Mass density   7.829 g/cm3

abc: 3.7400 4.9821 4.9821
angles: 120.00 90.00 90.00
Last column: nearest neighbours and their distance in Å.
Fractional coordinates of all 3 atoms:
Tl 0.1678 0.3333 0.6667  3 Mg 2.88
Mg 0.1661 0.0000 0.0000  3 Tl 2.88
Sm 0.6661 0.6667 0.3333  6 Tl 3.43, 6 Mg 3.43, 2 Sm 3.74

No. 2
Below is a geometry-optimized Sm5MgTl4 structure, with properties calculated at the PBE level.

Results
Energy of formation from the pure elements   -0.3247 eV/atom
Symmetry   P4/mmm
Mass density   9.212 g/cm3

abc: 3.8532 3.8532 19.3474
angles: 90.00 90.00 90.00
Last column: nearest neighbours and their distance in Å.
Fractional coordinates of all 10 atoms:
Sm 0.5000 0.5000 0.0969  4 Mg 3.31, 4 Tl 3.32
Sm 0.5000 0.5000 0.2988  8 Tl 3.35-3.38
Sm 0.5000 0.5000 0.5000  8 Tl 3.35
Sm 0.5000 0.5000 0.7012  8 Tl 3.35-3.38
Sm 0.5000 0.5000 0.9031  4 Mg 3.31, 4 Tl 3.32
Mg 0.0000 0.0000 0.0000  8 Sm 3.31
Tl 0.0000 0.0000 0.1951  8 Sm 3.32-3.38
Tl 0.0000 0.0000 0.3994  8 Sm 3.35
Tl 0.0000 0.0000 0.6006  8 Sm 3.35
Tl 0.0000 0.0000 0.8049  8 Sm 3.32-3.38

Number 1: total moment 0.000 μB/atom. Number 2: total moment 0.000 μB/atom.